This record from OQMD describes CuAg after structural relaxation. The functional is PBE.

abc: 3.8944 3.9592 7.7425
angles: 90.00 90.00 90.00
Element x y z (fractional)
Cu 0.0000 0.5000 0.7626
Cu 0.5000 0.5000 0.9903
Cu 0.0000 0.0000 0.9909
Cu 0.0000 0.0000 0.5095
Ag 0.5000 0.0000 0.2389
Ag 0.5000 0.5000 0.5088
Ag 0.5000 0.0000 0.7610
Ag 0.0000 0.5000 0.2380

Results
* energy of formation: 95 meV per atom
* total energy: -3.176 eV per atom
* crystal system: orthorhombic
* SG: Pmm2 (25)